## NaHfSnWO6 (PBE+U)

Data for a geometry-optimized NaHfSnWO6 structure.

a = 5.7396 Å, b = 5.7396 Å, c = 5.7396 Å
α = 60.00°, β = 60.00°, γ = 60.00°
Last column: nearest neighbours and their distance in Å.
Fractional positions:
1 Na 0.2500 0.2500 0.2500  12 O 2.87
2 Hf 0.0000 0.0000 0.0000  6 O 2.07
3 Sn 0.7500 0.7500 0.7500  12 O 2.87
4 W 0.5000 0.5000 0.5000  6 O 1.99
5 O 0.2553 0.7447 0.2553  1 W 1.99, 1 Hf 2.07
6 O 0.7447 0.2553 0.7447  1 W 1.99, 1 Hf 2.07
7 O 0.2553 0.7447 0.7447  1 W 1.99, 1 Hf 2.07
8 O 0.7447 0.2553 0.2553  1 W 1.99, 1 Hf 2.07
9 O 0.2553 0.2553 0.7447  1 W 1.99, 1 Hf 2.07
10 O 0.7447 0.7447 0.2553  1 W 1.99, 1 Hf 2.07

Summary:
density = 7.45 g/cm3
total DFT energy (no corrections) = -74.0 eV for the cell shown
space group = F-43m